A geometry-optimized Y6Zn2Bi structure, computed with PBE.

Cell: 9.410 9.714 11.101 Å, 90.00 90.00 90.00°
Space group Immm (No. 71)
Asymmetric unit:
Y (0.000, 0.203, 0.227) [8 per cell]
Y (0.195, 0.500, 0.182) [8 per cell]
Y (0.208, 0.308, 0.500) [8 per cell]
Zn (0.000, 0.358, 0.000) [4 per cell]
Zn (0.000, 0.500, 0.384) [4 per cell]
Bi (0.000, 0.000, 0.000) [2 per cell]
Bi (0.000, 0.000, 0.500) [2 per cell]

Energy of formation in eV/f.u.: -2.91
Spin magnetization in μB/cell: 0.00

A geometry-optimized YTcO2 structure, computed with PBE.

Cell: 5.764 5.764 5.764 Å, 90.00 90.00 90.00°
Space group Fm-3m (No. 225)
Asymmetric unit:
Y (0.000, 0.000, 0.000) [4 per cell]
Tc (0.000, 0.000, 0.500) [4 per cell]
O (0.250, 0.250, 0.250) [8 per cell]

Spin magnetization in μB/cell: 2.53
ΔE_f (raw) in eV/atom: -1.22

A geometry-optimized Cs2K4Na structure, computed with PBE.

Cell: 7.177 7.177 23.748 Å, 90.00 90.00 90.00°
Space group I4/mmm (No. 139)
Asymmetric unit:
Cs (0.000, 0.000, 0.140) [4 per cell]
K (0.000, 0.000, 0.338) [4 per cell]
K (0.000, 0.500, 0.000) [4 per cell]
Na (0.000, 0.000, 0.500) [2 per cell]

Energy of formation in eV/f.u.: 0.56
Spin magnetization in μB/cell: 0.00

A geometry-optimized La4SiAs2I structure, computed with PBE.

Cell: 7.669 4.417 7.697 Å, 90.00 108.97 90.00°
Space group P2/m (No. 10)
Asymmetric unit:
La (0.230, 0.000, 0.226) [2 per cell]
La (0.243, 0.500, 0.761) [2 per cell]
Si (0.500, 0.000, 0.000) [1 per cell]
As (0.000, 0.000, 0.500) [1 per cell]
As (0.000, 0.500, 0.000) [1 per cell]
I (0.500, 0.500, 0.500) [1 per cell]

Spin magnetization in μB/cell: 0.00
ΔE_f (raw) in eV/atom: -1.27

A geometry-optimized Ti2BeBiMo structure, computed with PBE.

Cell: 4.715 4.715 5.295 Å, 90.00 90.00 90.00°
Space group P4/mmm (No. 123)
Asymmetric unit:
Ti (0.000, 0.500, 0.000) [2 per cell]
Be (0.000, 0.000, 0.500) [1 per cell]
Bi (0.500, 0.500, 0.500) [1 per cell]
Mo (0.500, 0.500, 0.000) [1 per cell]

Energy of formation in eV/f.u.: 5.65
Spin magnetization in μB/cell: 0.00

A geometry-optimized La2PbI structure, computed with PBE.

Cell: 3.819 3.819 8.682 Å, 90.00 90.00 90.00°
Space group P4/mmm (No. 123)
Asymmetric unit:
La (0.000, 0.000, 0.249) [2 per cell]
Pb (0.500, 0.500, 0.000) [1 per cell]
I (0.500, 0.500, 0.500) [1 per cell]

Spin magnetization in μB/cell: 0.00
ΔE_f (raw) in eV/atom: -0.78

A geometry-optimized CeFeP2Ru structure, computed with PBE.

Cell: 3.969 3.969 9.728 Å, 90.00 90.00 90.00°
Space group I-4m2 (No. 119)
Asymmetric unit:
Ce (0.000, 0.000, 0.000) [2 per cell]
Fe (0.000, 0.500, 0.250) [2 per cell]
P (0.000, 0.000, 0.371) [4 per cell]
Ru (0.000, 0.500, 0.750) [2 per cell]

Energy of formation in eV/f.u.: -4.85
Spin magnetization in μB/cell: 0.25

A geometry-optimized Ce2HoAs2Rh7 structure, computed with PBE.

Cell: 5.767 5.750 13.249 Å, 90.00 101.84 90.00°
Space group C2/m (No. 12)
Asymmetric unit:
Ce (0.159, 0.000, 0.345) [4 per cell]
Ho (0.000, 0.000, 0.000) [2 per cell]
As (0.124, 0.500, 0.264) [4 per cell]
Rh (0.000, 0.500, 0.000) [2 per cell]
Rh (0.174, 0.250, 0.839) [8 per cell]
Rh (0.210, 0.500, 0.457) [4 per cell]

Energy of formation in eV/f.u.: -9.27
Spin magnetization in μB/cell: 0.04

A geometry-optimized Na2ErPbF8 structure, computed with PBE.

Cell: 3.870 5.564 7.765 Å, 90.00 90.00 90.00°
Space group Pmmm (No. 47)
Asymmetric unit:
Na (0.000, 0.000, 0.241) [2 per cell]
Er (0.500, 0.500, 0.000) [1 per cell]
Pb (0.500, 0.500, 0.500) [1 per cell]
F (0.000, 0.265, 0.500) [2 per cell]
F (0.000, 0.275, 0.000) [2 per cell]
F (0.500, 0.266, 0.240) [4 per cell]

Spin magnetization in μB/cell: 0.00
ΔE_f (raw) in eV/atom: -3.01

A geometry-optimized CaScNbB2 structure, computed with PBE.

Cell: 4.357 4.357 4.563 Å, 90.00 90.00 90.00°
Space group P4/mmm (No. 123)
Asymmetric unit:
Ca (0.000, 0.000, 0.000) [1 per cell]
Sc (0.000, 0.000, 0.500) [1 per cell]
Nb (0.500, 0.500, 0.000) [1 per cell]
B (0.000, 0.500, 0.500) [2 per cell]

Energy of formation in eV/f.u.: 9.02
Spin magnetization in μB/cell: 0.00

A geometry-optimized Hf2PtRh4 structure, computed with PBE.

Cell: 4.848 7.309 6.848 Å, 90.00 106.99 90.00°
Space group P2_1/c (No. 14)
Asymmetric unit:
Hf (0.100, 0.038, 0.243) [4 per cell]
Pt (0.500, 0.000, 0.000) [2 per cell]
Rh (0.229, 0.703, 0.063) [4 per cell]
Rh (0.343, 0.165, 0.627) [4 per cell]

Energy of formation in eV/f.u.: -4.05
Spin magnetization in μB/cell: 0.00

A geometry-optimized SrCd2Os structure, computed with PBE.

Cell: 3.191 4.578 14.161 Å, 90.00 90.00 90.00°
Space group Imm2 (No. 44)
Asymmetric unit:
Sr (0.000, 0.000, 0.000) [2 per cell]
Cd (0.000, 0.000, 0.345) [2 per cell]
Cd (0.000, 0.500, 0.185) [2 per cell]
Os (0.000, 0.500, 0.683) [2 per cell]

Energy of formation in eV/f.u.: 1.63
Spin magnetization in μB/cell: 0.00

> Look up the spin magnetization of the sixth one.

0.00 μB/cell